(1)
# RePb PBE relaxed
# DFT formation energy ... 588 meV per atom
# Crystal system ... trigonal
# M_tot ... 0.000 μB per atom
data_RePb
_symmetry_space_group_name_H-M 'P -3 m 1'
_symmetry_Int_Tables_number 164
_symmetry_space_group_name_Hall '-P 3 2"'
_cell_length_a 3.0671
_cell_length_b 3.0671
_cell_length_c 10.8471
_cell_angle_alpha 90.00
_cell_angle_beta 90.00
_cell_angle_gamma 120.00
loop_
_atom_site_label
_atom_site_fract_x
_atom_site_fract_y
_atom_site_fract_z
Re1 0.3333 0.6667 0.0872
Pb1 0.3333 0.6667 0.6747

(2)
# Re2Pb PBE relaxed
# DFT formation energy ... 1532 meV per atom
# Crystal system ... tetragonal
# M_tot ... 0.000 μB per atom
data_Re2Pb
_symmetry_space_group_name_H-M 'I 4/m c m'
_symmetry_Int_Tables_number 140
_symmetry_space_group_name_Hall '-I 4 2c'
_cell_length_a 6.435
_cell_length_b 6.435
_cell_length_c 5.647
_cell_angle_alpha 90.00
_cell_angle_beta 90.00
_cell_angle_gamma 90.00
loop_
_atom_site_label
_atom_site_fract_x
_atom_site_fract_y
_atom_site_fract_z
Re1 0.125 0.375 0.000
Pb1 0.000 0.000 0.250

(3)
# RePb5 PBE relaxed
# DFT formation energy ... 1032 meV per atom
# Crystal system ... cubic
# M_tot ... 0.524 μB per atom
data_RePb5
_symmetry_space_group_name_H-M 'F -4 3 m'
_symmetry_Int_Tables_number 216
_symmetry_space_group_name_Hall 'F -4 2 3'
_cell_length_a 8.997
_cell_length_b 8.997
_cell_length_c 8.997
_cell_angle_alpha 90.00
_cell_angle_beta 90.00
_cell_angle_gamma 90.00
loop_
_atom_site_label
_atom_site_fract_x
_atom_site_fract_y
_atom_site_fract_z
Re1 0.000 0.000 0.000
Pb1 0.125 0.125 0.375
Pb2 0.250 0.250 0.750

(4)
# RePb PBE relaxed
# DFT formation energy ... 1254 meV per atom
# Crystal system ... cubic
# M_tot ... 0.000 μB per atom
data_RePb
_symmetry_space_group_name_H-M 'I -4 3 m'
_symmetry_Int_Tables_number 217
_symmetry_space_group_name_Hall 'I -4 2 3'
_cell_length_a 8.386
_cell_length_b 8.386
_cell_length_c 8.386
_cell_angle_alpha 90.00
_cell_angle_beta 90.00
_cell_angle_gamma 90.00
loop_
_atom_site_label
_atom_site_fract_x
_atom_site_fract_y
_atom_site_fract_z
Re1 0.106 0.106 0.106
Pb1 0.205 0.205 0.795

(5)
# Re5Pb PBE relaxed
# DFT formation energy ... 727 meV per atom
# Crystal system ... hexagonal
# M_tot ... 0.000 μB per atom
data_Re5Pb
_symmetry_space_group_name_H-M 'P 6/m m m'
_symmetry_Int_Tables_number 191
_symmetry_space_group_name_Hall '-P 6 2'
_cell_length_a 5.1327
_cell_length_b 5.1327
_cell_length_c 4.7012
_cell_angle_alpha 90.00
_cell_angle_beta 90.00
_cell_angle_gamma 120.00
loop_
_atom_site_label
_atom_site_fract_x
_atom_site_fract_y
_atom_site_fract_z
Re1 0.0000 0.5000 0.0000
Re2 0.3333 0.6667 0.5000
Pb1 0.0000 0.0000 0.5000

(6)
# Re2Pb PBE relaxed
# DFT formation energy ... 1017 meV per atom
# Crystal system ... orthorhombic
# M_tot ... 0.000 μB per atom
data_Re2Pb
_symmetry_space_group_name_H-M 'C m c m'
_symmetry_Int_Tables_number 63
_symmetry_space_group_name_Hall '-C 2c 2'
_cell_length_a 3.049
_cell_length_b 14.672
_cell_length_c 4.716
_cell_angle_alpha 90.00
_cell_angle_beta 90.00
_cell_angle_gamma 90.00
loop_
_atom_site_label
_atom_site_fract_x
_atom_site_fract_y
_atom_site_fract_z
Re1 0.000 0.053 0.250
Re2 0.000 0.289 0.750
Pb1 0.000 0.387 0.250

(7)
# Re5Pb PBE relaxed
# DFT formation energy ... 485 meV per atom
# Crystal system ... monoclinic
# M_tot ... 0.000 μB per atom
data_Re5Pb
_symmetry_space_group_name_H-M 'C 1 m 1'
_symmetry_Int_Tables_number 8
_cell_length_a 10.408
_cell_length_b 2.900
_cell_length_c 6.755
_cell_angle_alpha 90.00
_cell_angle_beta 105.54
_cell_angle_gamma 90.00
loop_
_symmetry_equiv_pos_as_xyz
'x,y,z'
'x,-y,z'
'x+1/2,y+1/2,z'
'x+1/2,-y+1/2,z'
loop_
_atom_site_label
_atom_site_fract_x
_atom_site_fract_y
_atom_site_fract_z
Re1 0.000 0.000 0.000
Re2 0.043 0.000 0.629
Re3 0.137 0.500 0.360
Re4 0.201 0.500 0.923
Re5 0.319 0.000 0.679
Pb1 0.358 0.000 0.271

(8)
# RePb PBE relaxed
# DFT formation energy ... 1296 meV per atom
# Crystal system ... trigonal
# M_tot ... 0.231 μB per atom
data_RePb
_symmetry_space_group_name_H-M 'R -3 m'
_symmetry_Int_Tables_number 166
_symmetry_space_group_name_Hall '-R 3 2"'
_cell_length_a 3.1782
_cell_length_b 3.1782
_cell_length_c 13.4178
_cell_angle_alpha 90.00
_cell_angle_beta 90.00
_cell_angle_gamma 120.00
loop_
_atom_site_label
_atom_site_fract_x
_atom_site_fract_y
_atom_site_fract_z
Re1 0.0000 0.0000 0.0000
Pb1 0.0000 0.0000 0.5000

(9)
# RePb PBE relaxed
# DFT formation energy ... 384 meV per atom
# Crystal system ... monoclinic
# M_tot ... 0.000 μB per atom
data_RePb
_symmetry_space_group_name_H-M 'P 1 21/m 1'
_symmetry_Int_Tables_number 11
_cell_length_a 3.121
_cell_length_b 3.121
_cell_length_c 9.444
_cell_angle_alpha 90.00
_cell_angle_beta 90.16
_cell_angle_gamma 90.00
loop_
_symmetry_equiv_pos_as_xyz
'x,y,z'
'-x,-y,-z'
'-x,y+1/2,-z'
'x,-y+1/2,z'
loop_
_atom_site_label
_atom_site_fract_x
_atom_site_fract_y
_atom_site_fract_z
Re1 0.249 0.250 0.429
Pb1 0.254 0.250 0.812

(10)
# RePb PBE relaxed
# DFT formation energy ... 661 meV per atom
# Crystal system ... hexagonal
# M_tot ... 0.000 μB per atom
data_RePb
_symmetry_space_group_name_H-M 'P 63/m m c'
_symmetry_Int_Tables_number 194
_symmetry_space_group_name_Hall '-P 6c 2c'
_cell_length_a 8.2125
_cell_length_b 8.2125
_cell_length_c 4.5714
_cell_angle_alpha 90.00
_cell_angle_beta 90.00
_cell_angle_gamma 120.00
loop_
_atom_site_label
_atom_site_fract_x
_atom_site_fract_y
_atom_site_fract_z
Re1 0.1222 0.5611 0.2500
Pb1 0.1731 0.3462 0.7500

(11)
# RePb5 PBE relaxed
# DFT formation energy ... 646 meV per atom
# Crystal system ... orthorhombic
# M_tot ... 0.227 μB per atom
data_RePb5
_symmetry_space_group_name_H-M 'C m m m'
_symmetry_Int_Tables_number 65
_symmetry_space_group_name_Hall '-C 2 2'
_cell_length_a 4.951
_cell_length_b 13.286
_cell_length_c 5.041
_cell_angle_alpha 90.00
_cell_angle_beta 90.00
_cell_angle_gamma 90.00
loop_
_atom_site_label
_atom_site_fract_x
_atom_site_fract_y
_atom_site_fract_z
Re1 0.000 0.000 0.000
Pb1 0.000 0.149 0.500
Pb2 0.000 0.357 0.000
Pb3 0.000 0.500 0.500

(12)
# Re2Pb PBE relaxed
# DFT formation energy ... 584 meV per atom
# Crystal system ... monoclinic
# M_tot ... 0.000 μB per atom
data_Re2Pb
_symmetry_space_group_name_H-M 'C 1 2/m 1'
_symmetry_Int_Tables_number 12
_cell_length_a 11.890
_cell_length_b 2.933
_cell_length_c 7.100
_cell_angle_alpha 90.00
_cell_angle_beta 113.38
_cell_angle_gamma 90.00
loop_
_symmetry_equiv_pos_as_xyz
'x,y,z'
'-x,-y,-z'
'-x,y,-z'
'x,-y,z'
'x+1/2,y+1/2,z'
'-x+1/2,-y+1/2,-z'
'-x+1/2,y+1/2,-z'
'x+1/2,-y+1/2,z'
loop_
_atom_site_label
_atom_site_fract_x
_atom_site_fract_y
_atom_site_fract_z
Re1 0.044 0.000 0.205
Re2 0.150 0.500 0.010
Pb1 0.156 0.500 0.608